Material: Ho6Cd2Fe
Method: DFT, PBE
State: relaxed

Formation energy (eV per atom): -0.1132

```
9
Lattice="3.6956 0.0000 0.0000 0.0000 7.8887 -3.6325 0.0000 -0.8536 8.5283" Properties=species:S:1:pos:R:3 pbc="T T T"
Fe 1.8478 0.1338 -0.0616
Ho 1.8478 4.7400 -2.1826
Ho 1.8478 2.7337 1.9352
Ho 0.0000 1.8966 -0.8733
Ho 0.0000 5.3929 3.7945
Ho 0.0000 7.6579 -1.6688
Ho 1.8478 7.3419 1.5605
Cd 0.0000 4.9593 0.4523
Cd 0.0000 2.0268 4.4660
```

---

Material: NaAcLa2
Method: DFT, PBE
State: relaxed

Formation energy (eV per atom): 0.0964
Excess energy over the best structure of this formula in the dataset (meV/atom): 0.0

```
4
Lattice="3.7927 0.0000 0.0000 0.0000 3.7927 0.0000 0.0000 0.0000 10.8154" Properties=species:S:1:pos:R:3 pbc="T T T"
La 0.0000 0.0000 8.2363
La 0.0000 0.0000 2.5791
Na 1.8964 1.8964 5.4077
Ac 1.8964 1.8964 0.0000
```

---

Material: Ce3PS3
Method: DFT, PBE
State: relaxed

Excess energy over the best structure of this formula in the dataset (meV/atom): 111.5
Raw formation energy (eV per atom): -1.6304

```
14
Lattice="7.2209 0.5255 1.3386 -2.7465 6.6988 1.3386 0.6086 0.9826 7.7460" Properties=species:S:1:pos:R:3 pbc="T T T"
Ce 3.9316 2.9924 3.3293
Ce 0.2305 0.3722 1.8992
Ce 4.1555 3.3539 7.0938
Ce 0.9275 4.8530 3.3293
Ce 4.8524 7.8347 8.5239
Ce 1.1514 5.2145 7.0938
S -0.7150 6.1203 5.2115
S -0.9787 5.6039 1.3386
S 5.4531 1.6204 1.3386
S 1.7857 2.8831 5.3888
S 3.2973 5.3237 5.0343
S 5.7979 2.0866 5.2115
P 3.4092 5.5045 8.8870
P 1.6737 2.7024 1.5361
```

---

Material: NdCdHg6
Method: DFT, PBE
State: relaxed

Formation energy (eV per atom): -0.1691
Excess energy over the best structure of this formula in the dataset (meV/atom): 0.0

```
8
Lattice="-3.6533 -3.3593 0.4480 3.7607 -3.5369 4.1463 -3.7184 4.4670 3.1724" Properties=species:S:1:pos:R:3 pbc="T T T"
Hg 0.6903 -0.2511 3.7465
Hg -0.7358 -2.5716 2.4310
Hg -1.0200 1.8369 5.4557
Hg 1.3462 -4.5874 4.2938
Hg -0.7174 -2.1668 5.6167
Hg -1.0424 1.3455 1.5889
Cd -2.8592 -0.0870 3.7461
Nd -2.8015 3.4858 3.2918
```

---

Material: CaTmLuCd
Method: DFT, PBE
State: relaxed

Formation energy (eV per atom): 0.0150

```
4
Lattice="-2.2012 0.9478 4.9162 -2.5696 -4.0242 2.6676 2.2560 -2.1909 4.4748" Properties=species:S:1:pos:R:3 pbc="T T T"
Tm 0.0000 0.0000 0.0000
Lu -0.6287 -1.3168 3.0146
Cd -1.8861 -3.9504 9.0439
Ca -1.2574 -2.6336 6.0293
```

---

Material: Sr2ZrSc
Method: DFT, PBE
State: relaxed

Formation energy (eV per atom): 0.6551
Excess energy over the best structure of this formula in the dataset (meV/atom): 378.0

```
4
Lattice="0.0000 4.0838 4.0838 4.0838 0.0000 4.0838 4.0838 4.0838 0.0000" Properties=species:S:1:pos:R:3 pbc="T T T"
Zr 4.0838 4.0838 4.0838
Sc 0.0000 0.0000 0.0000
Sr 6.1257 6.1257 6.1257
Sr 2.0419 2.0419 2.0419
```

---

Material: CsFe2SbBr8
Method: DFT, PBE
State: relaxed

Raw formation energy (eV per atom): -0.6924

```
12
Lattice="6.8599 -0.4053 0.2658 2.8049 6.2734 0.2658 0.8549 0.5191 10.5351" Properties=species:S:1:pos:R:3 pbc="T T T"
Br 7.2478 4.4006 0.4646
Br 3.5406 2.1497 6.4320
Br 4.7291 5.1053 8.7127
Br 5.7906 1.2819 2.3539
Br 3.8086 4.5463 2.3539
Br 3.2720 1.9866 10.6020
Br 6.9791 4.2375 4.6346
Br 6.7111 1.8408 8.7127
Fe 4.4154 2.6809 8.5589
Fe 6.1043 3.7063 2.5077
Sb 0.0000 0.0000 0.0000
Cs 0.4274 0.2595 5.2675
```

---

Material: Rb2MgC
Method: DFT, PBE
State: relaxed

Formation energy (eV per atom): 1.4597
Excess energy over the best structure of this formula in the dataset (meV/atom): 665.0

```
4
Lattice="-3.4153 -1.6055 4.6519 -2.3881 4.1922 3.5503 -5.9011 1.0221 -0.1229" Properties=species:S:1:pos:R:3 pbc="T T T"
C 0.0000 0.0000 0.0000
Rb -8.7784 2.7066 6.0595
Rb -2.9261 0.9022 2.0198
Mg -5.8522 1.8044 4.0397
```

---

Material: Ba8HIr3Br3
Method: DFT, PBE
State: relaxed

```
15
Lattice="9.0802 0.0001 0.0000 -4.5400 7.8635 -0.0296 -0.0001 -5.2130 8.0593" Properties=species:S:1:pos:R:3 pbc="T T T"
Br 2.2701 3.9318 -0.0148
Br -2.2700 3.9318 -0.0148
Br 0.0000 0.0000 0.0000
Ba 2.3231 -1.2721 2.3482
Ba 4.5401 2.5677 2.3332
Ba 6.7573 -1.2722 2.3483
Ba -2.2172 3.9229 5.6814
Ba 4.5400 0.0213 5.7253
Ba 2.2170 3.9228 5.6815
Ba 0.0000 0.0829 5.6965
Ba 0.0001 2.6293 2.3044
Ir 2.2700 1.3253 4.0149
Ir -2.2700 1.3253 4.0149
Ir 4.5400 -2.6065 4.0297
H 0.0000 -2.6065 4.0297
```

---

Material: AlSi4Mo
Method: DFT, PBE
State: relaxed

Raw formation energy (eV per atom): 0.3433

```
6
Lattice="0.0000 3.4843 3.4843 3.4843 0.0000 3.4843 3.4843 3.4843 0.0000" Properties=species:S:1:pos:R:3 pbc="T T T"
Si 4.3571 2.6115 4.3571
Si 2.6115 4.3571 4.3571
Si 2.6115 2.6115 2.6115
Si 4.3571 4.3571 2.6115
Al 5.2264 5.2264 5.2264
Mo 0.0000 0.0000 0.0000
```

---

Material: SrLa2Pr
Method: DFT, PBE
State: relaxed

Formation energy (eV per atom): 0.0758
Excess energy over the best structure of this formula in the dataset (meV/atom): 5.3

```
4
Lattice="3.8169 0.0000 0.0000 1.9084 3.3055 0.0000 1.9084 1.1018 12.7406" Properties=species:S:1:pos:R:3 pbc="T T T"
Sr 3.8169 2.2037 6.3703
La 5.7253 3.3055 9.7736
La 1.9084 1.1018 2.9670
Pr 0.0000 0.0000 0.0000
```

---

Material: LiTbAl
Method: DFT, PBE
State: relaxed

Formation energy (eV per atom): 0.1016
Excess energy over the best structure of this formula in the dataset (meV/atom): 305.9

```
3
Lattice="-4.4444 -0.4663 5.2894 -0.8979 -2.9975 4.2672 1.8647 1.9116 1.7359" Properties=species:S:1:pos:R:3 pbc="T T T"
Tb -0.4490 -1.4987 2.1336
Li -2.6712 -1.7319 4.7783
Al 0.9324 0.9558 0.8680
```

---

no.,E (eV/atom)
1,-4.309
2,-3.724
3,-6.715
4,-1.106
5,-2.962
6,-3.906
7,-3.633
8,-1.729
9,-4.099
10,-5.701
11,-4.003
12,-3.327